Below is a geometry-optimized PmYSn6 structure, with properties calculated at the PBE level. Values from VASP.

As for the formation energy: -10.569 kcal/mol of atoms. For the magnetization, the calculation gives 0.00 μB/f.u.

Cell and atoms, written as Quantum ESPRESSO input:
```
&SYSTEM
  ibrav = 0, nat = 8, ntyp = 3
/
ATOMIC_SPECIES
Pm 145.00 Pm.upf
Y 88.91 Y.upf
Sn 118.71 Sn.upf
CELL_PARAMETERS angstrom
4.7379 0.0000 0.0000
0.0000 4.7379 0.0000
0.0000 0.0000 9.4999
ATOMIC_POSITIONS angstrom
Pm 0.0000 0.0000 0.0000
Y 0.0000 0.0000 4.7500
Sn 0.0000 2.3690 2.4046
Sn 0.0000 2.3690 7.0953
Sn 2.3690 0.0000 2.4046
Sn 2.3690 0.0000 7.0953
Sn 2.3690 2.3690 0.0000
Sn 2.3690 2.3690 4.7500
```


Below is a geometry-optimized HoAg4Sb structure, with properties calculated at the PBE level. Values from VASP.

For the magnetization, the calculation gives 0.00 μB/f.u. The calculation puts the formation energy (no corrections) at -0.956 eV per formula unit.

Cell and atoms, written as Quantum ESPRESSO input:
```
&SYSTEM
  ibrav = 0, nat = 6, ntyp = 3
/
ATOMIC_SPECIES
Ho 164.93 Ho.upf
Ag 107.87 Ag.upf
Sb 121.76 Sb.upf
CELL_PARAMETERS angstrom
0.0000 3.9898 3.9898
3.9898 0.0000 3.9898
3.9898 3.9898 0.0000
ATOMIC_POSITIONS angstrom
Ho 0.0000 0.0000 0.0000
Ag 2.9907 2.9907 2.9907
Ag 4.9889 4.9889 2.9907
Ag 4.9889 2.9907 4.9889
Ag 2.9907 4.9889 4.9889
Sb 5.9847 5.9847 5.9847
```


Below is a geometry-optimized Tc2NiCl structure, with properties calculated at the PBE level. Values from VASP.

The calculation puts the polymorph energy (0 for the lowest one) at 113 meV per atom. For the magnetization, the calculation gives 0.00 μB/f.u. The calculation puts the formation energy (no corrections) at 1.427 eV per formula unit.

Cell and atoms, written as Quantum ESPRESSO input:
```
&SYSTEM
  ibrav = 0, nat = 4, ntyp = 3
/
ATOMIC_SPECIES
Tc 98.00 Tc.upf
Ni 58.69 Ni.upf
Cl 35.45 Cl.upf
CELL_PARAMETERS angstrom
2.9203 0.0000 0.0000
0.0000 3.2643 0.0000
0.0000 0.0000 6.5015
ATOMIC_POSITIONS angstrom
Tc 0.0000 0.0000 1.2223
Tc 0.0000 0.0000 5.2792
Ni 1.4601 1.6322 0.0000
Cl 0.0000 1.6322 3.2507
```


Below is a geometry-optimized HfCu2F11 structure, with properties calculated at the PBE level. Values from VASP.

For the magnetization, the calculation gives 3.05 μB/f.u. The calculation puts the formation energy (no corrections) at -27.948 eV per formula unit.

Cell and atoms, written as Quantum ESPRESSO input:
```
&SYSTEM
  ibrav = 0, nat = 28, ntyp = 3
/
ATOMIC_SPECIES
Hf 178.49 Hf.upf
Cu 63.55 Cu.upf
F 19.00 F.upf
CELL_PARAMETERS angstrom
-4.2318 4.2386 4.9172
4.2318 -4.2386 4.9172
4.2318 4.2386 -4.9172
ATOMIC_POSITIONS angstrom
Hf 0.0000 0.0000 2.4586
Hf 0.0000 0.0000 7.3758
Cu 5.8456 1.6173 0.0000
Cu 1.6138 2.6213 0.0000
Cu 2.6180 1.6173 4.9172
Cu -1.6138 2.6213 4.9172
F 4.2318 0.0000 0.0000
F 4.8677 -2.5581 3.5654
F 1.6801 -0.6356 1.3512
F 2.9139 1.3218 0.0000
F 4.8677 2.5581 -1.3519
F 6.7835 0.6356 1.3512
F 2.5517 3.6030 -1.3512
F 0.6359 1.6805 1.3519
F 2.9139 -1.3218 4.9172
F 1.6801 0.6356 3.5660
F 4.8677 2.5581 1.3519
F 0.0000 4.2386 0.0000
F -0.6359 1.6805 3.5654
F 2.5517 3.6030 1.3512
F 1.3179 5.5604 0.0000
F 3.5960 2.5581 3.5654
F 1.6801 0.6356 6.2684
F -2.5517 3.6030 3.5660
F -0.6359 1.6805 6.2691
F 1.3179 2.9168 4.9172
F 2.5517 4.8742 3.5660
F -0.6359 6.7967 1.3519
```